Entry 1:
## BaPu3I8 (PBE-GGA)

Data for a geometry-optimized BaPu3I8 structure.

Cell lengths 9.299, 9.299, 9.393 Å; angles 120.22, 120.22, 60.03 degrees
Atoms (fractional coordinates):
Ba  0.000  0.000  0.000
Pu  0.000  0.500  0.000
Pu  0.500  0.000  0.000
Pu  0.500  0.500  0.000
I  0.254  0.254  0.767
I  0.261  0.261  0.246
I  0.261  0.727  0.246
I  0.273  0.739  0.754
I  0.727  0.261  0.246
I  0.739  0.273  0.754
I  0.739  0.739  0.754
I  0.746  0.746  0.233

Output
**Crystal system**: monoclinic


Entry 2:
## ReNi2Pt (PBE-GGA)

Data for a geometry-optimized ReNi2Pt structure.

Cell lengths 4.546, 2.667, 4.698 Å; angles 90.00, 111.31, 90.00 degrees
Atoms (fractional coordinates):
Re  0.000  0.000  0.000
Ni  0.500  0.000  0.500
Ni  0.500  0.500  0.000
Pt  0.000  0.500  0.500

Output
**Crystal system**: monoclinic
**Polymorph energy (0 for the lowest one)**: 0.49 eV per formula unit
**Energy of formation**: 39 meV per atom


Entry 3:
## Li2InOsN (PBE-GGA)

Data for a geometry-optimized Li2InOsN structure.

Cell lengths 4.204, 4.204, 3.832 Å; angles 90.00, 90.00, 90.00 degrees
Atoms (fractional coordinates):
Li  0.000  0.500  0.000
Li  0.500  0.000  0.000
In  0.000  0.000  0.500
Os  0.500  0.500  0.500
N  0.500  0.500  0.000

Output
**Crystal system**: tetragonal


Entry 4:
## BeAlNi6 (PBE-GGA)

Data for a geometry-optimized BeAlNi6 structure.

Cell lengths 3.527, 3.527, 6.890 Å; angles 90.00, 90.00, 90.00 degrees
Atoms (fractional coordinates):
Be  0.000  0.000  0.000
Al  0.000  0.000  0.500
Ni  0.000  0.500  0.238
Ni  0.000  0.500  0.762
Ni  0.500  0.000  0.238
Ni  0.500  0.000  0.762
Ni  0.500  0.500  0.000
Ni  0.500  0.500  0.500

Output
**Crystal system**: tetragonal
**Polymorph energy (0 for the lowest one)**: 0.00 eV per formula unit
**Energy of formation**: -292 meV per atom


Entry 5:
## La2As3PPt4 (PBE-GGA)

Data for a geometry-optimized La2As3PPt4 structure.

Cell lengths 4.481, 4.481, 9.803 Å; angles 90.00, 90.00, 90.00 degrees
Atoms (fractional coordinates):
La  0.000  0.500  0.247
La  0.500  0.000  0.753
As  0.000  0.000  0.000
As  0.000  0.500  0.633
As  0.500  0.000  0.367
P  0.500  0.500  0.000
Pt  0.000  0.000  0.500
Pt  0.000  0.500  0.889
Pt  0.500  0.000  0.111
Pt  0.500  0.500  0.500

Output
**Crystal system**: tetragonal
**Energy of formation**: -973 meV per atom


Entry 6:
## La2SnTeN (PBE-GGA)

Data for a geometry-optimized La2SnTeN structure.

Cell lengths 5.304, 5.304, 4.508 Å; angles 90.00, 90.00, 90.00 degrees
Atoms (fractional coordinates):
La  0.000  0.500  0.000
La  0.500  0.000  0.000
Sn  0.000  0.000  0.500
Te  0.500  0.500  0.500
N  0.000  0.000  0.000

Output
**Crystal system**: tetragonal


We obtain E_tot values of -5.977 -7.474 -5.416 -5.562 -6.311 -5.882 eV per atom for the records listed above, in that order.
We obtain total magnetic moment values of 18.00 0.01 0.00 1.96 0.00 0.00 μB per cell for the records listed above, in that order.